A plane-wave DFT calculation with PBE was carried out for a relaxed structure of NaPm6Cd5.

Properties
- energy relative to the elements (eV/atom) = -0.22
- electronic total energy (eV per atom) = -3.087
- DOS(E_F) (states/eV/f.u.) = 15.8

a = 5.4481 Å, b = 7.7210 Å, c = 16.3359 Å
α = 90.00°, β = 90.00°, γ = 90.00°
Last column: nearest neighbours and their distance in Å.
Space group Immm (No. 71)
Symmetry-distinct sites (fractional):
Na 0.0000 0.0000 0.0000 (multiplicity 2)  8 Pm 3.39-3.41, 4 Cd 3.78
Pm 0.0000 0.2384 0.5000 (multiplicity 4)  6 Cd 3.29-3.30, 2 Na 3.39, 1 Pm 3.68
Pm 0.0000 0.2553 0.1704 (multiplicity 8)  7 Cd 3.30-3.37, 1 Na 3.41
Cd 0.0000 0.0000 0.3328 (multiplicity 4)  8 Pm 3.29-3.32
Cd 0.0000 0.5000 0.0000 (multiplicity 2)  8 Pm 3.29-3.36
Cd 0.0000 0.5000 0.3399 (multiplicity 4)  8 Pm 3.30-3.37

A plane-wave DFT calculation with PBE was carried out for a relaxed structure of NaPm5Cd6.

Properties
- energy relative to the elements (eV/atom) = -0.27
- electronic total energy (eV per atom) = -2.819
- DOS(E_F) (states/eV/f.u.) = 12.4

a = 5.3965 Å, b = 7.6238 Å, c = 16.1759 Å
α = 90.00°, β = 90.00°, γ = 90.00°
Last column: nearest neighbours and their distance in Å.
Space group Immm (No. 71)
Symmetry-distinct sites (fractional):
Na 0.0000 0.0000 0.0000 (multiplicity 2)  8 Cd 3.25-3.29
Pm 0.0000 0.0000 0.3334 (multiplicity 4)  8 Cd 3.31-3.33
Pm 0.0000 0.5000 0.0000 (multiplicity 2)  8 Cd 3.30-3.32
Pm 0.0000 0.5000 0.3340 (multiplicity 4)  8 Cd 3.28-3.36
Cd 0.0000 0.2449 0.1645 (multiplicity 8)  1 Na 3.25, 7 Pm 3.28-3.36
Cd 0.0000 0.2539 0.5000 (multiplicity 4)  6 Pm 3.28-3.32, 2 Na 3.29

A plane-wave DFT calculation with PBE was carried out for a relaxed structure of Na2PmCd.

Properties
- energy relative to the elements (eV/atom) = 0.15
- electronic total energy (eV per atom) = -1.926
- DOS(E_F) (states/eV/f.u.) = 3.3

a = 3.4257 Å, b = 3.4257 Å, c = 36.6573 Å
α = 90.00°, β = 90.00°, γ = 120.00°
Last column: nearest neighbours and their distance in Å.
Space group R-3m (No. 166, hexagonal axes)
Symmetry-distinct sites (fractional):
Na 0.0000 0.0000 0.0931 (multiplicity 6)  3 Cd 3.34, 1 Pm 3.41, 6 Na 3.43
Pm 0.0000 0.0000 0.0000 (multiplicity 3)  2 Na 3.41, 6 Pm 3.43
Cd 0.0000 0.0000 0.5000 (multiplicity 3)  6 Na 3.34, 6 Cd 3.43

A plane-wave DFT calculation with PBE was carried out for a relaxed structure of NaPm2Cd4.

Properties
- energy relative to the elements (eV/atom) = -0.05
- electronic total energy (eV per atom) = -2.119
- DOS(E_F) (states/eV/f.u.) = 6.0

a = 5.2976 Å, b = 5.2976 Å, c = 24.7719 Å
α = 90.00°, β = 90.00°, γ = 120.00°
Last column: nearest neighbours and their distance in Å.
Space group R-3m (No. 166, hexagonal axes)
Symmetry-distinct sites (fractional):
Na 0.0000 0.0000 0.0000 (multiplicity 3)  8 Cd 3.09-3.31
Pm 0.0000 0.0000 0.2522 (multiplicity 6)  8 Cd 3.15-3.28
Cd 0.0000 0.0000 0.1247 (multiplicity 6)  1 Na 3.09, 4 Pm 3.16-3.24
Cd 0.0000 0.0000 0.3847 (multiplicity 6)  4 Pm 3.15-3.28, 3 Na 3.31

A plane-wave DFT calculation with PBE was carried out for a relaxed structure of Na2Pm2Cd15.

Properties
- energy relative to the elements (eV/atom) = -0.14
- electronic total energy (eV per atom) = -1.500
- energy above the most stable polymorph in this dataset (meV/atom) = 0
- DOS(E_F) (states/eV/f.u.) = 6.5

a = 10.2246 Å, b = 10.2246 Å, c = 14.8649 Å
α = 90.00°, β = 90.00°, γ = 120.00°
Last column: nearest neighbours and their distance in Å.
Space group R-3m (No. 166, hexagonal axes)
Symmetry-distinct sites (fractional):
Na 0.0000 0.0000 0.1002 (multiplicity 6)  1 Na 2.98, 6 Cd 3.11-3.30
Pm 0.0000 0.0000 0.3436 (multiplicity 6)  15 Cd 3.52-3.89, 1 Na 3.62
Cd 0.0000 0.3058 0.0000 (multiplicity 18)  8 Cd 2.94-3.15
Cd 0.0000 0.5000 0.5000 (multiplicity 9)  8 Cd 2.94-3.02, 2 Na 3.11
Cd 0.0130 0.5065 0.1510 (multiplicity 18)  8 Cd 2.87-3.15

A plane-wave DFT calculation with PBE was carried out for a relaxed structure of NaPm2Cd5.

Properties
- energy relative to the elements (eV/atom) = -0.20
- electronic total energy (eV per atom) = -2.126
- DOS(E_F) (states/eV/f.u.) = 5.4

a = 5.0692 Å, b = 5.0692 Å, c = 15.8901 Å
α = 90.00°, β = 90.00°, γ = 90.00°
Last column: nearest neighbours and their distance in Å.
Space group I4/mmm (No. 139)
Symmetry-distinct sites (fractional):
Na 0.0000 0.0000 0.0000 (multiplicity 2)  8 Cd 3.13
Pm 0.0000 0.0000 0.2588 (multiplicity 4)  8 Cd 3.23-3.41, 4 Pm 3.60
Cd 0.0000 0.0000 0.5000 (multiplicity 2)  8 Cd 3.13
Cd 0.0000 0.5000 0.1152 (multiplicity 8)  2 Cd 3.13, 2 Na 3.13, 4 Pm 3.23-3.41

A plane-wave DFT calculation with PBE was carried out for a relaxed structure of NaPmPrCd.

Properties
- energy relative to the elements (eV/atom) = 0.00
- electronic total energy (eV per atom) = -2.941
- DOS(E_F) (states/eV/f.u.) = 5.4

a = 7.8540 Å, b = 7.8540 Å, c = 7.8540 Å
α = 90.00°, β = 90.00°, γ = 90.00°
Last column: nearest neighbours and their distance in Å.
Space group F-43m (No. 216)
Symmetry-distinct sites (fractional):
Na 0.0000 0.0000 0.0000 (multiplicity 4)  4 Pm 3.40, 4 Pr 3.40
Pm 0.2500 0.2500 0.2500 (multiplicity 4)  4 Cd 3.40, 4 Na 3.40
Pr 0.2500 0.2500 0.7500 (multiplicity 4)  4 Cd 3.40, 4 Na 3.40
Cd 0.0000 0.0000 0.5000 (multiplicity 4)  4 Pr 3.40, 4 Pm 3.40

A plane-wave DFT calculation with PBE was carried out for a relaxed structure of Na2PmCdSb2.

Properties
- electronic total energy (eV per atom) = -3.302
- formation energy (no corrections) (meV per atom) = -544
- DOS(E_F) (states/eV/f.u.) = 2.4

a = 4.6354 Å, b = 9.5743 Å, c = 7.6052 Å
α = 90.00°, β = 90.00°, γ = 90.00°
Last column: nearest neighbours and their distance in Å.
Space group Pmc2_1 (No. 26)
Symmetry-distinct sites (fractional):
Na 0.0000 0.0698 0.0000 (multiplicity 2)  5 Sb 3.26-3.57, 4 Na 3.42-3.56
Na 0.5000 0.1681 0.3076 (multiplicity 2)  4 Sb 3.13-3.16, 2 Na 3.42
Pm 0.5000 0.4406 0.9236 (multiplicity 2)  5 Sb 3.15-3.31
Cd 0.0000 0.3145 0.6067 (multiplicity 2)  4 Sb 2.91-3.06
Sb 0.0000 0.3780 0.2142 (multiplicity 2)  2 Cd 3.05-3.06, 3 Na 3.15-3.37, 4 Pm 3.26-3.31
Sb 0.5000 0.1546 0.7190 (multiplicity 2)  2 Cd 2.91, 2 Na 3.13-3.16, 1 Pm 3.15

Q: electronic total energy of number 8 (Na2PmCdSb2)?
A: -3.302 eV per atom

Q: DOS(E_F) of number 8 (Na2PmCdSb2)?
A: 2.4 states/eV/f.u.